First-principles (PBE with a Hubbard U) data for crystalline CrInOF2 at its relaxed geometry, as listed in Alexandria via LeMat-Bulk.

Geometry as CIF:
```
data_CrInOF2
_chemical_formula_sum 'Cr1 In1 O1 F2'
_cell_length_a 4.1469
_cell_length_b 4.1469
_cell_length_c 4.0108
_cell_angle_alpha 90.00
_cell_angle_beta 90.00
_cell_angle_gamma 90.00
_space_group_name_H-M_alt 'P 1'
_space_group_IT_number 1
loop_
_space_group_symop_operation_xyz
'x,y,z'
loop_
_atom_site_label
_atom_site_fract_x
_atom_site_fract_y
_atom_site_fract_z
Cr1 0.0000 0.0000 0.0000
F1 0.0000 0.5000 0.0000
F2 0.5000 0.0000 0.0000
O1 0.0000 0.0000 0.5000
In1 0.5000 0.5000 0.5000
```

## Properties
magnetic moment	3.01	Bohr magnetons per cell
ρ	5.316	g/cm3
energy	-5.59	eV/atom
D(E_F)	1.8	states/eV/f.u.